Entry 1:
Density functional theory data (GGA-PBE) for a relaxed B5C7 crystal.

Computed properties:
Magnetic moment = 0.0 μB/cell
Mass density = 2.9 g cm⁻³
DFT formation energy = 0.365 eV/atom
Excess energy over the best structure of this formula in the dataset = 0.1075 eV per atom
Space group = No. 8
DOS(E_F) = 0.17 states/eV per atom
DFT total energy = -0.2866 Ha/atom

Structure (CIF):
```
data_B5C7
_chemical_formula_sum 'B5 C7'
_space_group_name_H-M_alt 'P 1'
_space_group_IT_number 1
_cell_length_a 6.1385
_cell_length_b 6.1385
_cell_length_c 5.2294
_cell_angle_alpha 103.44
_cell_angle_beta 103.44
_cell_angle_gamma 24.44
loop_
_space_group_symop_operation_xyz
'x,y,z'
loop_
_atom_site_label
_atom_site_fract_x
_atom_site_fract_y
_atom_site_fract_z
B1 0.0209 0.0209 0.0339
B2 0.9205 0.9205 0.6762
B3 0.3175 0.3175 0.6654
B4 0.9070 0.9070 0.2226
B5 0.6649 0.6649 0.3347
C1 0.5874 0.5874 0.0327
C2 0.6644 0.6644 0.8343
C3 0.2538 0.2538 0.3640
C4 0.3204 0.3204 0.1585
C5 0.2428 0.2428 0.8788
C6 0.0132 0.0132 0.5008
C7 0.5872 0.5872 0.5482
```



Entry 2:
Density functional theory data (GGA-PBE) for a relaxed Li2ZrZnAs crystal.

Computed properties:
Magnetic moment = 0.0 μB/cell
Mass density = 4.2 g cm⁻³
DFT formation energy = 0.098 eV/atom
Space group = No. 123
DOS(E_F) = 0.62 states/eV per atom
DFT total energy = -0.1309 Ha/atom

Structure (CIF):
```
data_Li2ZrZnAs
_chemical_formula_sum 'Li2 Zr1 Zn1 As1'
_space_group_name_H-M_alt 'P 1'
_space_group_IT_number 1
_cell_length_a 4.3245
_cell_length_b 5.2195
_cell_length_c 4.3245
_cell_angle_alpha 90.00
_cell_angle_beta 90.00
_cell_angle_gamma 90.00
loop_
_space_group_symop_operation_xyz
'x,y,z'
loop_
_atom_site_label
_atom_site_fract_x
_atom_site_fract_y
_atom_site_fract_z
Li1 0.0000 0.0000 0.5000
Li2 0.5000 0.0000 0.0000
Zr1 0.0000 0.5000 0.0000
As1 0.5000 0.5000 0.5000
Zn1 0.0000 0.0000 0.0000
```



Entry 3:
Density functional theory data (GGA-PBE) for a relaxed CeNd2In2Hg2 crystal.

Computed properties:
Magnetic moment = 1.4 μB/cell
Mass density = 8.7 g cm⁻³
DFT formation energy = -0.284 eV/atom
Space group = No. 166
DOS(E_F) = 1.36 states/eV per atom
DFT total energy = -0.1236 Ha/atom

Structure (CIF):
```
data_CeNd2In2Hg2
_chemical_formula_sum 'Ce1 Nd2 In2 Hg2'
_space_group_name_H-M_alt 'P 1'
_space_group_IT_number 1
_cell_length_a 4.9762
_cell_length_b 4.9762
_cell_length_c 9.8536
_cell_angle_alpha 75.37
_cell_angle_beta 75.37
_cell_angle_gamma 60.00
loop_
_space_group_symop_operation_xyz
'x,y,z'
loop_
_atom_site_label
_atom_site_fract_x
_atom_site_fract_y
_atom_site_fract_z
Nd1 0.8724 0.8724 0.3828
Nd2 0.1276 0.1276 0.6172
Ce1 0.0000 0.0000 0.0000
In1 0.7417 0.7417 0.7749
In2 0.2583 0.2583 0.2251
Hg1 0.3904 0.3904 0.8288
Hg2 0.6096 0.6096 0.1712
```



Entry 4:
Density functional theory data (GGA-PBE) for a relaxed LiPmSc2 crystal.

Computed properties:
Magnetic moment = 0.0 μB/cell
Mass density = 3.8 g cm⁻³
DFT formation energy = 0.185 eV/atom
Excess energy over the best structure of this formula in the dataset = 0.0564 eV per atom
Space group = No. 160
DOS(E_F) = 1.52 states/eV per atom
DFT total energy = -0.1708 Ha/atom

Structure (CIF):
```
data_LiPmSc2
_chemical_formula_sum 'Li1 Pm1 Sc2'
_space_group_name_H-M_alt 'P 1'
_space_group_IT_number 1
_cell_length_a 3.3545
_cell_length_b 3.3545
_cell_length_c 10.9215
_cell_angle_alpha 81.17
_cell_angle_beta 81.17
_cell_angle_gamma 60.00
loop_
_space_group_symop_operation_xyz
'x,y,z'
loop_
_atom_site_label
_atom_site_fract_x
_atom_site_fract_y
_atom_site_fract_z
Li1 0.6664 0.6664 0.0007
Sc1 0.2546 0.2546 0.2362
Sc2 0.0787 0.0787 0.7639
Pm1 0.5003 0.5003 0.4992
```



Entry 5:
Density functional theory data (GGA-PBE) for a relaxed Dy4Tm15Mg crystal.

Computed properties:
Magnetic moment = 0.0 μB/cell
Mass density = 8.9 g cm⁻³
DFT formation energy = 0.025 eV/atom
Space group = No. 123
DOS(E_F) = 1.28 states/eV per atom
DFT total energy = -0.1591 Ha/atom

Structure (CIF):
```
data_Dy4Tm15Mg
_chemical_formula_sum 'Dy4 Tm15 Mg1'
_space_group_name_H-M_alt 'P 1'
_space_group_IT_number 1
_cell_length_a 4.9282
_cell_length_b 4.9282
_cell_length_c 24.6970
_cell_angle_alpha 90.00
_cell_angle_beta 90.00
_cell_angle_gamma 90.00
loop_
_space_group_symop_operation_xyz
'x,y,z'
loop_
_atom_site_label
_atom_site_fract_x
_atom_site_fract_y
_atom_site_fract_z
Dy1 0.0000 0.0000 0.6008
Dy2 0.0000 0.0000 0.3992
Dy3 0.0000 0.0000 0.1984
Dy4 0.0000 0.0000 0.8016
Tm1 0.5000 0.0000 0.5000
Tm2 0.0000 0.5000 0.5000
Tm3 0.0000 0.5000 0.2986
Tm4 0.5000 0.5000 0.0000
Tm5 0.5000 0.5000 0.1964
Tm6 0.0000 0.5000 0.9017
Tm7 0.5000 0.0000 0.9017
Tm8 0.5000 0.5000 0.3991
Tm9 0.0000 0.5000 0.0983
Tm10 0.5000 0.0000 0.0983
Tm11 0.5000 0.5000 0.8036
Tm12 0.5000 0.5000 0.6009
Tm13 0.0000 0.5000 0.7014
Tm14 0.5000 0.0000 0.2986
Tm15 0.5000 0.0000 0.7014
Mg1 0.0000 0.0000 0.0000
```



Entry 6:
Density functional theory data (GGA-PBE) for a relaxed HfZr3Cd2 crystal.

Computed properties:
Magnetic moment = 0.1 μB/cell
Mass density = 8.4 g cm⁻³
DFT formation energy = -0.101 eV/atom
Space group = No. 123
DOS(E_F) = 1.00 states/eV per atom
DFT total energy = -0.2329 Ha/atom

Structure (CIF):
```
data_HfZr3Cd2
_chemical_formula_sum 'Hf1 Zr3 Cd2'
_space_group_name_H-M_alt 'P 1'
_space_group_IT_number 1
_cell_length_a 3.1709
_cell_length_b 3.1709
_cell_length_c 13.2738
_cell_angle_alpha 90.00
_cell_angle_beta 90.00
_cell_angle_gamma 90.00
loop_
_space_group_symop_operation_xyz
'x,y,z'
loop_
_atom_site_label
_atom_site_fract_x
_atom_site_fract_y
_atom_site_fract_z
Hf1 0.5000 0.5000 0.5000
Cd1 0.5000 0.5000 0.1631
Cd2 0.5000 0.5000 0.8369
Zr1 0.0000 0.0000 0.6660
Zr2 0.0000 0.0000 0.3340
Zr3 0.0000 0.0000 0.0000
```